Density functional theory data (GGA-PBE) for Li2Cd2Sb after structural relaxation.

abc: 8.0206 8.0206 3.2923
angles: 90.00 90.00 90.00
Closest atoms and distances in Å follow each position.
Element x y z (fractional)
Sb1 0.0000 0.0000 0.0000  4 Cd 3.15, 2 Sb 3.29, 8 Li 3.41
Sb2 0.5000 0.5000 0.0000  4 Cd 3.15, 2 Sb 3.29, 8 Li 3.41
Li1 0.1667 0.6667 0.5000  6 Cd 2.84-2.91
Li2 0.6667 0.8333 0.5000  6 Cd 2.84-2.91
Li3 0.8333 0.3333 0.5000  6 Cd 2.84-2.91
Li4 0.3333 0.1667 0.5000  6 Cd 2.84-2.91
Cd1 0.3706 0.8706 0.0000  6 Li 2.84-2.91, 1 Cd 2.94, 2 Sb 3.15
Cd2 0.8706 0.6294 0.0000  6 Li 2.84-2.91, 1 Cd 2.94, 2 Sb 3.15
Cd3 0.6294 0.1294 0.0000  6 Li 2.84-2.91, 1 Cd 2.94, 2 Sb 3.15
Cd4 0.1294 0.3706 0.0000  6 Li 2.84-2.91, 1 Cd 2.94, 2 Sb 3.15

Results
DOS at the Fermi energy: 2.626 states/eV per cell
Total energy: -21.519 eV for the cell shown
V: 212 Å³/cell
Space-group type: No. 127
ΔE_f (raw): -1.0 eV per formula unit
Excess energy over the best structure of this formula in the dataset: 0 meV/atom